[1]
A relaxed Gd2GaTc crystal. Source: Alexandria, functional PBE-GGA.

Lattice parameters (Å, degrees): 3.5731 3.5731 6.9342 90.00 90.00 90.00
Space group P4/mmm (No. 123)
One atom of each set of equivalent atoms:
Gd 0.0000 0.0000 0.2355 [2 per cell]
Ga 0.5000 0.5000 0.5000 [1 per cell]
Tc 0.5000 0.5000 0.0000 [1 per cell]

Uncorrected energy (eV per atom): -10.62
Magnetic moment (μB/f.u.): 13.9
Energy above the lowest structure with this stoichiometry (kJ per mole of atoms): 0.0
E_form (eV per atom): -0.23

[2]
A relaxed CsKMnCl4 crystal. Source: Alexandria, functional PBE-GGA.

Lattice parameters (Å, degrees): 7.3844 7.3757 9.4505 90.00 108.31 90.00
Space group P2_1/m (No. 11)
One atom of each set of equivalent atoms:
Cs 0.2211 0.2500 0.4311 [2 per cell]
K 0.2810 0.2500 0.9499 [2 per cell]
Mn 0.2750 0.7500 0.1853 [2 per cell]
Cl 0.0837 0.7500 0.9355 [2 per cell]
Cl 0.0861 0.7500 0.3458 [2 per cell]
Cl 0.4888 0.5040 0.2347 [4 per cell]

Uncorrected energy (eV per atom): -4.28
Magnetic moment (μB/f.u.): 5.0

[3]
A relaxed InTeSCl2 crystal. Source: Alexandria, functional PBE-GGA.

Lattice parameters (Å, degrees): 5.3988 5.3988 5.2313 90.00 90.00 90.00
Space group P4/mmm (No. 123)
One atom of each set of equivalent atoms:
In 0.0000 0.0000 0.0000 [1 per cell]
Te 0.5000 0.5000 0.5000 [1 per cell]
S 0.5000 0.5000 0.0000 [1 per cell]
Cl 0.0000 0.5000 0.5000 [2 per cell]

Uncorrected energy (eV per atom): -2.98
Magnetic moment (μB/f.u.): 0.0
Energy above the lowest structure with this stoichiometry (kJ per mole of atoms): 0.0

[4]
A relaxed SrZrSi2B crystal. Source: Alexandria, functional PBE-GGA.

Lattice parameters (Å, degrees): 5.3398 5.3398 5.2959 90.00 90.00 90.00
Space group P4/mmm (No. 123)
One atom of each set of equivalent atoms:
Sr 0.0000 0.0000 0.0000 [1 per cell]
Zr 0.0000 0.0000 0.5000 [1 per cell]
Si 0.0000 0.5000 0.0000 [2 per cell]
B 0.5000 0.5000 0.5000 [1 per cell]

Uncorrected energy (eV per atom): -2.92
Magnetic moment (μB/f.u.): 0.0

[5]
A relaxed MnSbPb3 crystal. Source: Alexandria, functional PBE-GGA.

Lattice parameters (Å, degrees): 5.2698 5.2698 5.2698 90.00 90.00 90.00
Space group Pm-3m (No. 221)
One atom of each set of equivalent atoms:
Mn 0.0000 0.0000 0.0000 [1 per cell]
Sb 0.5000 0.5000 0.5000 [1 per cell]
Pb 0.0000 0.0000 0.5000 [3 per cell]

Uncorrected energy (eV per atom): -4.55
Magnetic moment (μB/f.u.): 2.4
Energy above the lowest structure with this stoichiometry (kJ per mole of atoms): 0.0

[6]
A relaxed Au2I2Cl crystal. Source: Alexandria, functional PBE-GGA.

Lattice parameters (Å, degrees): 7.3720 7.3720 14.0009 90.00 90.00 90.00
Space group I4_1md (No. 109)
One atom of each set of equivalent atoms:
Au 0.0000 0.3073 0.0000 [8 per cell]
I 0.0000 0.2331 0.1832 [8 per cell]
Cl 0.0000 0.0000 0.6083 [4 per cell]

Uncorrected energy (eV per atom): -2.31
Magnetic moment (μB/f.u.): 0.0
Energy above the lowest structure with this stoichiometry (kJ per mole of atoms): 0.8

What did the fourth record say?
A relaxed SrZrSi2B crystal. Source: Alexandria, functional PBE-GGA.

Lattice parameters (Å, degrees): 5.3398 5.3398 5.2959 90.00 90.00 90.00
Space group P4/mmm (No. 123)
One atom of each set of equivalent atoms:
Sr 0.0000 0.0000 0.0000 [1 per cell]
Zr 0.0000 0.0000 0.5000 [1 per cell]
Si 0.0000 0.5000 0.0000 [2 per cell]
B 0.5000 0.5000 0.5000 [1 per cell]

Uncorrected energy (eV per atom): -2.92
Magnetic moment (μB/f.u.): 0.0

Q: Which of these has the highest uncorrected energy?
A: Au2I2Cl

Copy entry 5 word for word.
A relaxed MnSbPb3 crystal. Source: Alexandria, functional PBE-GGA.

Lattice parameters (Å, degrees): 5.2698 5.2698 5.2698 90.00 90.00 90.00
Space group Pm-3m (No. 221)
One atom of each set of equivalent atoms:
Mn 0.0000 0.0000 0.0000 [1 per cell]
Sb 0.5000 0.5000 0.5000 [1 per cell]
Pb 0.0000 0.0000 0.5000 [3 per cell]

Uncorrected energy (eV per atom): -4.55
Magnetic moment (μB/f.u.): 2.4
Energy above the lowest structure with this stoichiometry (kJ per mole of atoms): 0.0